1.
The following is a DFT calculation (PBE) of a relaxed BeZn4Ru crystal.

The structure in POSCAR format:
```
BeZn4Ru
1.0
0.000 3.441 3.441
3.441 0.000 3.441
3.441 3.441 0.000
Be Zn Ru
1 4 1
Direct
0.000 0.000 0.000 Be
0.126 0.625 0.625 Zn
0.625 0.126 0.625 Zn
0.625 0.625 0.126 Zn
0.625 0.625 0.625 Zn
0.250 0.250 0.250 Ru
```

Results
energy of formation from the pure elements: 0.226 eV per atom
DOS at the Fermi energy: 0.32 states/eV per atom
electronic total energy: -2.79 eV/atom
total magnetic moment: 0.00 μB per cell

2.
The following is a DFT calculation (PBE) of a relaxed NaSrGa2 crystal.

The structure in POSCAR format:
```
NaSrGa2
1.0
7.396 0.000 0.000
0.000 4.974 0.000
0.000 0.000 12.308
Na Sr Ga
4 4 8
Direct
0.104 0.250 0.052 Na
0.396 0.750 0.552 Na
0.604 0.250 0.448 Na
0.896 0.750 0.948 Na
0.114 0.250 0.357 Sr
0.386 0.750 0.857 Sr
0.614 0.250 0.143 Sr
0.886 0.750 0.643 Sr
0.051 0.250 0.807 Ga
0.217 0.250 0.632 Ga
0.283 0.750 0.132 Ga
0.449 0.750 0.307 Ga
0.551 0.250 0.693 Ga
0.717 0.250 0.868 Ga
0.783 0.750 0.368 Ga
0.949 0.750 0.193 Ga
```

Results
energy of formation from the pure elements: -0.229 eV per atom
energy above the most stable polymorph in this dataset: 0.00 eV/f.u.
DOS at the Fermi energy: 0.58 states/eV per atom
electronic total energy: -2.49 eV/atom
total magnetic moment: 0.00 μB per cell